# 1
A plane-wave DFT calculation with PBE was carried out for a relaxed structure of Ce2Se3.

The structure in POSCAR format:
```
Ce2Se3
1.0
-4.443 4.443 13.340
4.443 -4.443 13.340
4.443 4.443 -13.340
Ce Se
16 24
Cartesian
5.633 2.274 -5.608
0.000 0.000 4.437
2.274 1.189 1.062
3.254 -2.169 12.278
2.222 3.376 -3.335
5.511 2.222 3.335
2.222 1.067 10.005
-1.189 2.169 7.732
2.274 3.254 5.608
0.000 4.443 2.233
1.189 6.612 -1.062
0.000 0.000 22.243
2.169 1.189 18.948
-1.067 2.222 16.675
2.169 3.254 14.402
0.000 4.443 11.107
1.545 0.657 -1.789
6.036 -0.661 3.915
3.782 -1.593 9.425
2.914 3.741 -6.245
5.145 1.529 0.425
5.104 2.851 -2.755
2.851 0.661 3.915
3.786 -2.898 15.128
1.529 0.702 7.095
1.529 3.741 -0.425
-0.657 2.898 4.881
2.851 3.782 2.755
5.104 1.593 9.425
5.145 2.914 6.245
2.914 0.702 12.915
-0.661 1.593 10.585
1.593 0.661 16.095
1.545 3.786 8.459
-0.702 2.914 13.765
0.657 5.988 4.881
2.898 3.786 11.551
-1.545 5.101 8.459
0.657 7.341 1.789
-0.702 1.529 19.585
```

Symmetry = I-42d, No. 122
ΔE_f (raw) = -42.10 kcal/mol of atoms

***

# 2
A plane-wave DFT calculation with PBE was carried out for a relaxed structure of TaPOs2.

The structure in POSCAR format:
```
TaPOs2
1.0
4.159 0.000 0.000
0.000 4.159 0.000
0.000 0.000 3.435
Ta P Os
1 1 2
Cartesian
0.000 0.000 0.000
2.080 2.080 0.000
0.000 2.080 1.717
2.080 0.000 1.717
```

Symmetry = P4/mmm, No. 123
E = -9.790 eV/atom